1.
DFT (PBE) results for crystalline SiPt2S at its relaxed geometry.

Cell: 6.8452 6.8452 6.8452 Å, 134.85 134.85 65.77°
With the nearest neighbours (Å) after each atom.
Fractional positions:
Si: 0.0000 0.0000 0.0000  4 Pt 2.36
Si: 0.7500 0.2500 0.5000  4 Pt 2.36
Pt: 0.1286 0.6250 0.0036  2 S 2.34, 2 Si 2.36
Pt: 0.3750 0.3786 0.5036  2 S 2.34, 2 Si 2.36
Pt: 0.6214 0.1250 0.9964  2 S 2.34, 2 Si 2.36
Pt: 0.8750 0.8714 0.4964  2 S 2.34, 2 Si 2.36
S: 0.2500 0.7500 0.5000  4 Pt 2.34
S: 0.5000 0.5000 0.0000  4 Pt 2.34

ΔE to the lowest computed polymorph = 0.00 kcal/mol of atoms
Energy relative to the elements, uncorrected = -0.2320 eV per atom
V = 159 Å³/cell

2.
DFT (PBE) results for crystalline Hg2TePb at its relaxed geometry.

Cell: 6.9742 6.9742 6.9742 Å, 142.48 142.48 54.11°
With the nearest neighbours (Å) after each atom.
Fractional positions:
Hg: 0.2500 0.7500 0.5000  4 Hg 3.17
Hg: 0.7500 0.2500 0.5000  4 Hg 3.17
Te: 0.0000 0.0000 0.0000  4 Pb 3.17
Pb: 0.5000 0.5000 0.0000  4 Te 3.17

ΔE to the lowest computed polymorph = 2.61 kcal/mol of atoms
Energy relative to the elements, uncorrected = -0.0520 eV per atom
V = 125 Å³/cell

3.
DFT (PBE) results for crystalline Ba2Cu7As6O24 at its relaxed geometry.

Cell: 5.3248 8.5837 11.5974 Å, 89.61 89.16 85.71°
With the nearest neighbours (Å) after each atom.
Fractional positions:
Ba: 0.0004 0.0517 0.3236  7 O 2.66-2.92
Ba: 0.9996 0.9483 0.6764  7 O 2.66-2.92
Cu: 0.0000 0.0000 0.0000  4 O 1.92-2.00
Cu: 0.0000 0.5000 0.5000  4 O 1.95-1.98
Cu: 0.4556 0.5817 0.6830  5 O 1.97-2.15
Cu: 0.4743 0.2386 0.8312  4 O 1.93-2.09
Cu: 0.5000 0.5000 0.0000  4 O 1.96-2.02
Cu: 0.5257 0.7614 0.1688  4 O 1.93-2.09
Cu: 0.5444 0.4183 0.3170  5 O 1.97-2.15
As: 0.0251 0.5767 0.2248  4 O 1.72-1.78
As: 0.4568 0.2381 0.5548  4 O 1.69-1.78
As: 0.4745 0.1630 0.1086  4 O 1.71-1.75
As: 0.5255 0.8370 0.8914  4 O 1.71-1.75
As: 0.5432 0.7619 0.4452  4 O 1.69-1.78
As: 0.9749 0.4233 0.7752  4 O 1.72-1.78
O: 0.1204 0.2355 0.7771  1 As 1.74
O: 0.1803 0.5150 0.3535  1 As 1.78, 1 Cu 1.95
O: 0.1880 0.5558 0.8095  1 As 1.72
O: 0.2087 0.8920 0.8856  1 As 1.72, 1 Cu 1.92
O: 0.2289 0.1221 0.5164  1 As 1.69
O: 0.2793 0.5917 0.1295  1 As 1.75
O: 0.3003 0.9999 0.1013  1 As 1.74
O: 0.3059 0.4263 0.5846  1 As 1.78, 2 Cu 1.98
O: 0.3224 0.7438 0.5520  1 As 1.71
O: 0.3800 0.2893 0.9953  1 As 1.75
O: 0.3905 0.2474 0.2385  1 As 1.71
O: 0.3980 0.8278 0.3189  1 As 1.74, 1 Cu 1.93
O: 0.6020 0.1722 0.6811  1 As 1.74, 1 Cu 1.93
O: 0.6095 0.7526 0.7615  1 As 1.71
O: 0.6200 0.7107 0.0047  1 As 1.75
O: 0.6776 0.2562 0.4480  1 As 1.71
O: 0.6941 0.5737 0.4154  1 As 1.78, 2 Cu 1.98
O: 0.6997 0.0001 0.8987  1 As 1.74
O: 0.7207 0.4083 0.8705  1 As 1.75
O: 0.7711 0.8779 0.4836  1 As 1.69
O: 0.7913 0.1080 0.1144  1 As 1.72, 1 Cu 1.92
O: 0.8120 0.4442 0.1905  1 As 1.72
O: 0.8197 0.4850 0.6465  1 As 1.78, 1 Cu 1.95
O: 0.8796 0.7645 0.2229  1 As 1.74

Energy relative to the elements, uncorrected = -1.1933 eV per atom
V = 529 Å³/cell

4.
DFT (PBE) results for crystalline SrZrTeN2 at its relaxed geometry.

Cell: 4.5047 4.5047 6.1596 Å, 90.00 90.00 90.00°
With the nearest neighbours (Å) after each atom.
Fractional positions:
Sr: 0.0000 0.0000 0.0000  4 N 2.25
Zr: 0.5000 0.5000 0.5000  4 Te 3.19
Te: 0.0000 0.0000 0.5000  2 Sr 3.08, 4 Zr 3.19
N: 0.0000 0.5000 0.0000  2 Sr 2.25
N: 0.5000 0.0000 0.0000  2 Sr 2.25

ΔE to the lowest computed polymorph = 37.61 kcal/mol of atoms
Energy relative to the elements, uncorrected = 1.2963 eV per atom
V = 125 Å³/cell

5.
DFT (PBE) results for crystalline La2YSc at its relaxed geometry.

Cell: 11.7369 11.7369 11.7369 Å, 17.60 17.60 17.60°
With the nearest neighbours (Å) after each atom.
Fractional positions:
La: 0.0000 0.0000 0.0000  3 Sc 3.49, 6 La 3.59, 3 Y 3.68
La: 0.1732 0.1732 0.1732  3 Sc 3.44, 6 La 3.59, 3 Y 3.61
Y: 0.7546 0.7546 0.7546  6 Y 3.59, 6 La 3.61-3.68
Sc: 0.5856 0.5856 0.5856  6 La 3.44-3.49, 6 Sc 3.59

ΔE to the lowest computed polymorph = 0.62 kcal/mol of atoms
Energy of formation = 0.067 eV per atom
V = 129 Å³/cell

6.
DFT (PBE) results for crystalline Mo2C at its relaxed geometry.

Cell: 4.5308 4.5308 4.5308 Å, 108.50 108.50 111.43°
With the nearest neighbours (Å) after each atom.
Fractional positions:
Mo: 0.1775 0.6775 0.8550  4 C 2.33
Mo: 0.3225 0.1775 0.5000  4 C 2.33
Mo: 0.6775 0.8225 0.5000  4 C 2.33
Mo: 0.8225 0.3225 0.1450  4 C 2.33
C: 0.2500 0.2500 0.0000  8 Mo 2.33, 2 C 2.55
C: 0.7500 0.7500 0.0000  8 Mo 2.33, 2 C 2.55

Energy of formation = 0.233 eV per atom
V = 72 Å³/cell

7.
DFT (PBE) results for crystalline Ba2Li3HgAu4 at its relaxed geometry.

Cell: 4.6890 4.6890 11.1563 Å, 90.00 90.00 90.00°
With the nearest neighbours (Å) after each atom.
Fractional positions:
Ba: 0.0000 0.5000 0.2378  8 Au 3.53-3.54, 7 Li 3.63-3.84, 2 Hg 3.75
Ba: 0.5000 0.0000 0.7622  8 Au 3.53-3.54, 7 Li 3.63-3.84, 2 Hg 3.75
Li: 0.0000 0.5000 0.8941  5 Au 2.63-2.67
Li: 0.5000 0.0000 0.1059  5 Au 2.63-2.67
Li: 0.5000 0.5000 0.5000  4 Au 2.91
Hg: 0.0000 0.0000 0.5000  4 Au 2.91
Au: 0.0000 0.0000 0.0000  4 Li 2.63
Au: 0.0000 0.5000 0.6545  3 Li 2.67-2.91, 2 Hg 2.91
Au: 0.5000 0.0000 0.3455  3 Li 2.67-2.91, 2 Hg 2.91
Au: 0.5000 0.5000 0.0000  4 Li 2.63

Energy of formation = -0.562 eV per atom
V = 245 Å³/cell

8.
DFT (PBE) results for crystalline CoW2 at its relaxed geometry.

Cell: 4.3154 4.3154 5.3004 Å, 90.00 90.00 120.00°
With the nearest neighbours (Å) after each atom.
Fractional positions:
Co: 0.3333 0.6667 0.2500  5 W 2.49-2.65
Co: 0.6667 0.3333 0.7500  5 W 2.49-2.65
W: 0.0000 0.0000 0.0000  8 W 2.65-2.82, 6 Co 2.82
W: 0.0000 0.0000 0.5000  8 W 2.65-2.82, 6 Co 2.82
W: 0.3333 0.6667 0.7500  5 Co 2.49-2.65
W: 0.6667 0.3333 0.2500  5 Co 2.49-2.65

ΔE to the lowest computed polymorph = 4.36 kcal/mol of atoms
Energy of formation = 0.197 eV per atom
V = 85 Å³/cell

9.
DFT (PBE) results for crystalline K4PSe at its relaxed geometry.

Cell: 6.5027 6.5027 6.5027 Å, 60.00 60.00 60.00°
With the nearest neighbours (Å) after each atom.
Fractional positions:
K: 0.1255 0.1255 0.1255  6 K 3.24-3.26
K: 0.1255 0.1255 0.6236  6 K 3.24-3.26
K: 0.1255 0.6236 0.1255  6 K 3.24-3.26
K: 0.6236 0.1255 0.1255  6 K 3.24-3.26
P: 0.7500 0.7500 0.7500  12 K 3.81, 4 Se 3.98
Se: 0.5000 0.5000 0.5000  12 K 3.81, 4 P 3.98

Energy relative to the elements, uncorrected = 0.1996 eV per atom
V = 194 Å³/cell

10.
DFT (PBE) results for crystalline Pr3OsBr at its relaxed geometry.

Cell: 7.6027 4.1831 9.7178 Å, 90.00 97.92 90.00°
With the nearest neighbours (Å) after each atom.
Fractional positions:
Pr: 0.0212 0.2500 0.1493  3 Os 2.87-3.07
Pr: 0.2891 0.7500 0.4066  1 Os 2.91
Pr: 0.4766 0.7500 0.8428  3 Os 2.86-3.19
Pr: 0.5234 0.2500 0.1572  3 Os 2.86-3.19
Pr: 0.7109 0.2500 0.5934  1 Os 2.91
Pr: 0.9788 0.7500 0.8507  3 Os 2.87-3.07
Os: 0.2665 0.7500 0.1054  7 Pr 2.86-3.19
Os: 0.7335 0.2500 0.8946  7 Pr 2.86-3.19
Br: 0.1531 0.2500 0.6371  7 Pr 3.33-3.61
Br: 0.8469 0.7500 0.3629  7 Pr 3.33-3.61

ΔE to the lowest computed polymorph = 0.00 kcal/mol of atoms
Energy relative to the elements, uncorrected = -0.4820 eV per atom
V = 306 Å³/cell

11.
DFT (PBE) results for crystalline NdPuMn4 at its relaxed geometry.

Cell: 5.1055 5.1055 5.1055 Å, 60.00 60.00 60.00°
With the nearest neighbours (Å) after each atom.
Fractional positions:
Nd: 0.0000 0.0000 0.0000  12 Mn 3.00, 4 Pu 3.13
Pu: 0.2500 0.2500 0.2500  12 Mn 2.99, 4 Nd 3.13
Mn: 0.1285 0.6238 0.6238  6 Mn 2.53-2.58
Mn: 0.6238 0.1285 0.6238  6 Mn 2.53-2.58
Mn: 0.6238 0.6238 0.1285  6 Mn 2.53-2.58
Mn: 0.6238 0.6238 0.6238  6 Mn 2.53-2.58

Energy of formation = 0.307 eV per atom
V = 94 Å³/cell